[1]
# SrCrSb2 meta-GGA SCAN PBEsol geometry
# Uncorrected formation energy in eV per formula unit: -0.707
# Energy above the most stable polymorph in this dataset in kcal/mol of atoms: 3.85
data_SrCrSb2
_symmetry_space_group_name_H-M 'P 4 m m'
_symmetry_Int_Tables_number 99
_cell_length_a 3.778
_cell_length_b 3.778
_cell_length_c 7.573
_cell_angle_alpha 90.00
_cell_angle_beta 90.00
_cell_angle_gamma 90.00
loop_
_symmetry_equiv_pos_as_xyz
'x,y,z'
'-y,x,z'
'-x,-y,z'
'y,-x,z'
'-x,y,z'
'y,x,z'
'x,-y,z'
'-y,-x,z'
loop_
_atom_site_label
_atom_site_fract_x
_atom_site_fract_y
_atom_site_fract_z
_atom_site_occupancy
Sr1 0.000 0.000 0.000 1
Cr1 0.500 0.500 0.380 1
Sb1 0.000 0.000 0.434 1
Sb2 0.500 0.500 0.738 1

***

[2]
# SrCr2SbW meta-GGA SCAN PBEsol geometry
# Uncorrected formation energy in eV per formula unit: 2.683
data_SrCr2SbW
_symmetry_space_group_name_H-M 'P 4/m m m'
_symmetry_Int_Tables_number 123
_symmetry_space_group_name_Hall '-P 4 2'
_cell_length_a 4.831
_cell_length_b 4.831
_cell_length_c 5.199
_cell_angle_alpha 90.00
_cell_angle_beta 90.00
_cell_angle_gamma 90.00
loop_
_atom_site_label
_atom_site_fract_x
_atom_site_fract_y
_atom_site_fract_z
_atom_site_occupancy
Sr1 0.000 0.000 0.000 1
Cr1 0.000 0.500 0.500 1
Sb1 0.500 0.500 0.000 1
W1 0.500 0.500 0.500 1

***

[3]
# Ta4CrSb meta-GGA SCAN PBEsol geometry
# Uncorrected formation energy in eV per formula unit: 2.758
data_Ta4CrSb
_symmetry_space_group_name_H-M 'F -4 3 m'
_symmetry_Int_Tables_number 216
_symmetry_space_group_name_Hall 'F -4 2 3'
_cell_length_a 7.640
_cell_length_b 7.640
_cell_length_c 7.640
_cell_angle_alpha 90.00
_cell_angle_beta 90.00
_cell_angle_gamma 90.00
loop_
_atom_site_label
_atom_site_fract_x
_atom_site_fract_y
_atom_site_fract_z
_atom_site_occupancy
Ta1 0.125 0.125 0.125 1
Cr1 0.250 0.250 0.750 1
Sb1 0.000 0.000 0.500 1

***

[4]
# TaCrSb meta-GGA SCAN PBEsol geometry
# Uncorrected formation energy in eV per formula unit: 0.859
data_TaCrSb
_symmetry_space_group_name_H-M 'P 3 m 1'
_symmetry_Int_Tables_number 156
_cell_length_a 4.4228
_cell_length_b 4.4228
_cell_length_c 2.9395
_cell_angle_alpha 90.00
_cell_angle_beta 90.00
_cell_angle_gamma 120.00
loop_
_symmetry_equiv_pos_as_xyz
'x,y,z'
'-y,x-y,z'
'-x+y,-x,z'
'-y,-x,z'
'-x+y,y,z'
'x,x-y,z'
loop_
_atom_site_label
_atom_site_fract_x
_atom_site_fract_y
_atom_site_fract_z
_atom_site_occupancy
Ta1 0.0000 0.0000 0.0000 1
Cr1 0.6667 0.3333 0.3607 1
Sb1 0.3333 0.6667 0.4690 1

***

[5]
# Ta2CrSb meta-GGA SCAN PBEsol geometry
# Uncorrected formation energy in eV per formula unit: 1.006
data_Ta2CrSb
_symmetry_space_group_name_H-M 'P 4/m m m'
_symmetry_Int_Tables_number 123
_symmetry_space_group_name_Hall '-P 4 2'
_cell_length_a 3.048
_cell_length_b 3.048
_cell_length_c 7.472
_cell_angle_alpha 90.00
_cell_angle_beta 90.00
_cell_angle_gamma 90.00
loop_
_atom_site_label
_atom_site_fract_x
_atom_site_fract_y
_atom_site_fract_z
_atom_site_occupancy
Ta1 0.000 0.000 0.201 1
Cr1 0.500 0.500 0.000 1
Sb1 0.500 0.500 0.500 1

***

[6]
# Cr3TcSb meta-GGA SCAN PBEsol geometry
# Uncorrected formation energy in eV per formula unit: 4.514
data_Cr3TcSb
_symmetry_space_group_name_H-M 'P m -3 m'
_symmetry_Int_Tables_number 221
_symmetry_space_group_name_Hall '-P 4 2 3'
_cell_length_a 4.586
_cell_length_b 4.586
_cell_length_c 4.586
_cell_angle_alpha 90.00
_cell_angle_beta 90.00
_cell_angle_gamma 90.00
loop_
_atom_site_label
_atom_site_fract_x
_atom_site_fract_y
_atom_site_fract_z
_atom_site_occupancy
Cr1 0.000 0.000 0.500 1
Tc1 0.000 0.000 0.000 1
Sb1 0.500 0.500 0.500 1

***

[7]
# CrTc2Sb meta-GGA SCAN PBEsol geometry
# Uncorrected formation energy in eV per formula unit: 1.090
data_CrTc2Sb
_symmetry_space_group_name_H-M 'P 4 m m'
_symmetry_Int_Tables_number 99
_cell_length_a 3.059
_cell_length_b 3.059
_cell_length_c 6.269
_cell_angle_alpha 90.00
_cell_angle_beta 90.00
_cell_angle_gamma 90.00
loop_
_symmetry_equiv_pos_as_xyz
'x,y,z'
'-y,x,z'
'-x,-y,z'
'y,-x,z'
'-x,y,z'
'y,x,z'
'x,-y,z'
'-y,-x,z'
loop_
_atom_site_label
_atom_site_fract_x
_atom_site_fract_y
_atom_site_fract_z
_atom_site_occupancy
Cr1 0.000 0.000 0.000 1
Tc1 0.000 0.000 0.522 1
Tc2 0.500 0.500 0.778 1
Sb1 0.500 0.500 0.253 1

***

[8]
# CrTc2Sb meta-GGA SCAN PBEsol geometry
# Uncorrected formation energy in eV per formula unit: 0.651
data_CrTc2Sb
_symmetry_space_group_name_H-M 'I -4 m 2'
_symmetry_Int_Tables_number 119
_symmetry_space_group_name_Hall 'I -4 -2'
_cell_length_a 3.817
_cell_length_b 3.817
_cell_length_c 8.152
_cell_angle_alpha 90.00
_cell_angle_beta 90.00
_cell_angle_gamma 90.00
loop_
_atom_site_label
_atom_site_fract_x
_atom_site_fract_y
_atom_site_fract_z
_atom_site_occupancy
Cr1 0.000 0.000 0.000 1
Tc1 0.000 0.000 0.500 1
Tc2 0.000 0.500 0.750 1
Sb1 0.000 0.500 0.250 1

***

[9]
# CrSbTe meta-GGA SCAN PBEsol geometry
# Uncorrected formation energy in eV per formula unit: 1.531
data_CrSbTe
_symmetry_space_group_name_H-M 'F -4 3 m'
_symmetry_Int_Tables_number 216
_symmetry_space_group_name_Hall 'F -4 2 3'
_cell_length_a 6.962
_cell_length_b 6.962
_cell_length_c 6.962
_cell_angle_alpha 90.00
_cell_angle_beta 90.00
_cell_angle_gamma 90.00
loop_
_atom_site_label
_atom_site_fract_x
_atom_site_fract_y
_atom_site_fract_z
_atom_site_occupancy
Cr1 0.000 0.000 0.000 1
Sb1 0.250 0.250 0.250 1
Te1 0.000 0.000 0.500 1

***

[10]
# CrSbTe2 meta-GGA SCAN PBEsol geometry
# Uncorrected formation energy in eV per formula unit: -0.184
# Energy above the most stable polymorph in this dataset in kcal/mol of atoms: 0.38
data_CrSbTe2
_symmetry_space_group_name_H-M 'I 4/m m m'
_symmetry_Int_Tables_number 139
_symmetry_space_group_name_Hall '-I 4 2'
_cell_length_a 5.943
_cell_length_b 5.943
_cell_length_c 5.984
_cell_angle_alpha 90.00
_cell_angle_beta 90.00
_cell_angle_gamma 90.00
loop_
_atom_site_label
_atom_site_fract_x
_atom_site_fract_y
_atom_site_fract_z
_atom_site_occupancy
Cr1 0.000 0.000 0.000 1
Sb1 0.000 0.000 0.500 1
Te1 0.000 0.500 0.000 1

***

[11]
# CrSbTe2 meta-GGA SCAN PBEsol geometry
# Uncorrected formation energy in eV per formula unit: -0.250
# Energy above the most stable polymorph in this dataset in kcal/mol of atoms: 0.00
data_CrSbTe2
_symmetry_space_group_name_H-M 'C 1 m 1'
_symmetry_Int_Tables_number 8
_cell_length_a 9.265
_cell_length_b 3.787
_cell_length_c 6.554
_cell_angle_alpha 90.00
_cell_angle_beta 111.90
_cell_angle_gamma 90.00
loop_
_symmetry_equiv_pos_as_xyz
'x,y,z'
'x,-y,z'
'x+1/2,y+1/2,z'
'x+1/2,-y+1/2,z'
loop_
_atom_site_label
_atom_site_fract_x
_atom_site_fract_y
_atom_site_fract_z
_atom_site_occupancy
Cr1 0.000 0.000 0.000 1
Sb1 0.286 0.000 0.996 1
Te1 0.110 0.500 0.313 1
Te2 0.436 0.000 0.682 1

***

[12]
# Cr2SbTe meta-GGA SCAN PBEsol geometry
# Uncorrected formation energy in eV per formula unit: 1.925
data_Cr2SbTe
_symmetry_space_group_name_H-M 'P 4/m m m'
_symmetry_Int_Tables_number 123
_symmetry_space_group_name_Hall '-P 4 2'
_cell_length_a 4.517
_cell_length_b 4.517
_cell_length_c 3.194
_cell_angle_alpha 90.00
_cell_angle_beta 90.00
_cell_angle_gamma 90.00
loop_
_atom_site_label
_atom_site_fract_x
_atom_site_fract_y
_atom_site_fract_z
_atom_site_occupancy
Cr1 0.000 0.500 0.000 1
Sb1 0.000 0.000 0.500 1
Te1 0.500 0.500 0.500 1